# 1
## NaH3N (GGA-PBE)

Data for a relaxed NaH3N crystal.

Calculated values
M_tot ... 0.00 μB per atom
Energy above the lowest structure with this stoichiometry ... 58.3 meV per atom
Uncorrected energy ... -61.944 eV per cell

Geometry as CIF:
```
data_NaH3N
_chemical_formula_sum 'Na3 H9 N3'
_cell_length_a 3.8896
_cell_length_b 3.8896
_cell_length_c 17.9549
_cell_angle_alpha 90.00
_cell_angle_beta 90.00
_cell_angle_gamma 120.00
_symmetry_space_group_name_H-M 'R 3 m'
_symmetry_Int_Tables_number 160
_symmetry_space_group_name_Hall 'R 3 -2"'
loop_
_atom_site_label
_atom_site_fract_x
_atom_site_fract_y
_atom_site_fract_z
Na1 0.0000 0.0000 0.0000
H1 0.0577 0.5289 0.4933
N1 0.0000 0.0000 0.8016
```

# 2
## ScAl4Pt2 (GGA-PBE)

Data for a relaxed ScAl4Pt2 crystal.

Calculated values
M_tot ... 0.00 μB per atom
Uncorrected energy ... -159.833 eV per cell

Geometry as CIF:
```
data_ScAl4Pt2
_chemical_formula_sum 'Sc4 Al16 Pt8'
_cell_length_a 16.978
_cell_length_b 4.194
_cell_length_c 6.631
_cell_angle_alpha 90.00
_cell_angle_beta 90.00
_cell_angle_gamma 90.00
_symmetry_space_group_name_H-M 'P n m a'
_symmetry_Int_Tables_number 62
loop_
_symmetry_equiv_pos_as_xyz
'x,y,z'
'-x,-y,-z'
'-x+1/2,-y,z+1/2'
'x+1/2,y,-z+1/2'
'x+1/2,-y+1/2,-z+1/2'
'-x+1/2,y+1/2,z+1/2'
'-x,y+1/2,-z'
'x,-y+1/2,z'
loop_
_atom_site_label
_atom_site_fract_x
_atom_site_fract_y
_atom_site_fract_z
Sc1 0.142 0.250 0.021
Al1 0.035 0.750 0.857
Al2 0.068 0.250 0.487
Al3 0.186 0.750 0.328
Al4 0.192 0.750 0.741
Pt1 0.039 0.750 0.245
Pt2 0.216 0.250 0.538
```

# 3
## NbIr2NCl (GGA-PBE)

Data for a relaxed NbIr2NCl crystal.

Calculated values
E_form (uncorrected) ... 2.1024 eV per atom
M_tot ... 0.47 μB per atom
Uncorrected energy ... -27.452 eV per cell

Geometry as CIF:
```
data_NbIr2NCl
_chemical_formula_sum 'Nb1 Ir2 N1 Cl1'
_cell_length_a 4.850
_cell_length_b 4.850
_cell_length_c 4.921
_cell_angle_alpha 90.00
_cell_angle_beta 90.00
_cell_angle_gamma 90.00
_symmetry_space_group_name_H-M 'P 4/m m m'
_symmetry_Int_Tables_number 123
_symmetry_space_group_name_Hall '-P 4 2'
loop_
_atom_site_label
_atom_site_fract_x
_atom_site_fract_y
_atom_site_fract_z
Nb1 0.000 0.000 0.000
Ir1 0.000 0.500 0.000
N1 0.500 0.500 0.500
Cl1 0.000 0.000 0.500
```

# 4
## Tm5Al2Ga (GGA-PBE)

Data for a relaxed Tm5Al2Ga crystal.

Calculated values
M_tot ... 0.00 μB per atom
Uncorrected energy ... -142.736 eV per cell

Geometry as CIF:
```
data_Tm5Al2Ga
_chemical_formula_sum 'Tm20 Al8 Ga4'
_cell_length_a 7.613
_cell_length_b 7.613
_cell_length_c 14.022
_cell_angle_alpha 90.00
_cell_angle_beta 90.00
_cell_angle_gamma 90.00
_symmetry_space_group_name_H-M 'I 4/m c m'
_symmetry_Int_Tables_number 140
_symmetry_space_group_name_Hall '-I 4 2c'
loop_
_atom_site_label
_atom_site_fract_x
_atom_site_fract_y
_atom_site_fract_z
Tm1 0.000 0.000 0.000
Tm2 0.168 0.332 0.150
Al1 0.122 0.378 0.500
Ga1 0.000 0.000 0.250
```

# 5
## Ce2SmAl (GGA-PBE)

Data for a relaxed Ce2SmAl crystal.

Calculated values
M_tot ... 0.36 μB per atom
Energy above the lowest structure with this stoichiometry ... 35.9 meV per atom
Uncorrected energy ... -20.882 eV per cell

Geometry as CIF:
```
data_Ce2SmAl
_chemical_formula_sum 'Ce2 Sm1 Al1'
_cell_length_a 4.621
_cell_length_b 4.621
_cell_length_c 4.963
_cell_angle_alpha 90.00
_cell_angle_beta 90.00
_cell_angle_gamma 90.00
_symmetry_space_group_name_H-M 'P 4/m m m'
_symmetry_Int_Tables_number 123
_symmetry_space_group_name_Hall '-P 4 2'
loop_
_atom_site_label
_atom_site_fract_x
_atom_site_fract_y
_atom_site_fract_z
Ce1 0.000 0.500 0.000
Sm1 0.000 0.000 0.500
Al1 0.500 0.500 0.500
```

# 6
## TaRe2Tc (GGA-PBE)

Data for a relaxed TaRe2Tc crystal.

Calculated values
M_tot ... 0.00 μB per atom
Energy above the lowest structure with this stoichiometry ... 139.7 meV per atom
Uncorrected energy ... -93.675 eV per cell

Geometry as CIF:
```
data_TaRe2Tc
_chemical_formula_sum 'Ta2 Re4 Tc2'
_cell_length_a 3.193
_cell_length_b 4.451
_cell_length_c 8.812
_cell_angle_alpha 90.00
_cell_angle_beta 90.00
_cell_angle_gamma 90.00
_symmetry_space_group_name_H-M 'C m m m'
_symmetry_Int_Tables_number 65
_symmetry_space_group_name_Hall '-C 2 2'
loop_
_atom_site_label
_atom_site_fract_x
_atom_site_fract_y
_atom_site_fract_z
Ta1 0.000 0.000 0.000
Re1 0.000 0.500 0.256
Tc1 0.000 0.000 0.500
```

# 7
## BaMgAs2Pd5 (GGA-PBE)

Data for a relaxed BaMgAs2Pd5 crystal.

Calculated values
M_tot ... 0.00 μB per atom
Uncorrected energy ... -43.451 eV per cell

Geometry as CIF:
```
data_BaMgAs2Pd5
_chemical_formula_sum 'Ba1 Mg1 As2 Pd5'
_cell_length_a 4.593
_cell_length_b 4.593
_cell_length_c 9.322
_cell_angle_alpha 90.00
_cell_angle_beta 90.00
_cell_angle_gamma 90.00
_symmetry_space_group_name_H-M 'P 4/m m m'
_symmetry_Int_Tables_number 123
_symmetry_space_group_name_Hall '-P 4 2'
loop_
_atom_site_label
_atom_site_fract_x
_atom_site_fract_y
_atom_site_fract_z
Ba1 0.000 0.000 0.000
Mg1 0.000 0.000 0.500
As1 0.500 0.500 0.258
Pd1 0.000 0.500 0.346
Pd2 0.500 0.500 0.000
```

# 8
## SrW2Br (GGA-PBE)

Data for a relaxed SrW2Br crystal.

Calculated values
E_form (uncorrected) ... 1.2271 eV per atom
M_tot ... 0.00 μB per atom
Energy above the lowest structure with this stoichiometry ... 995.2 meV per atom
Uncorrected energy ... -24.353 eV per cell

Geometry as CIF:
```
data_SrW2Br
_chemical_formula_sum 'Sr1 W2 Br1'
_cell_length_a 3.169
_cell_length_b 5.675
_cell_length_c 5.690
_cell_angle_alpha 90.00
_cell_angle_beta 90.00
_cell_angle_gamma 90.00
_symmetry_space_group_name_H-M 'P m m m'
_symmetry_Int_Tables_number 47
loop_
_symmetry_equiv_pos_as_xyz
'x,y,z'
'-x,-y,-z'
'-x,-y,z'
'x,y,-z'
'x,-y,-z'
'-x,y,z'
'-x,y,-z'
'x,-y,z'
loop_
_atom_site_label
_atom_site_fract_x
_atom_site_fract_y
_atom_site_fract_z
Sr1 0.000 0.000 0.000
W1 0.500 0.500 0.197
Br1 0.000 0.000 0.500
```

- Which value of M_tot does entry 6 give?
  0.00 μB per atom

What did the eighth record say?
## SrW2Br (GGA-PBE)

Data for a relaxed SrW2Br crystal.

Calculated values
E_form (uncorrected) ... 1.2271 eV per atom
M_tot ... 0.00 μB per atom
Energy above the lowest structure with this stoichiometry ... 995.2 meV per atom
Uncorrected energy ... -24.353 eV per cell

Geometry as CIF:
```
data_SrW2Br
_chemical_formula_sum 'Sr1 W2 Br1'
_cell_length_a 3.169
_cell_length_b 5.675
_cell_length_c 5.690
_cell_angle_alpha 90.00
_cell_angle_beta 90.00
_cell_angle_gamma 90.00
_symmetry_space_group_name_H-M 'P m m m'
_symmetry_Int_Tables_number 47
loop_
_symmetry_equiv_pos_as_xyz
'x,y,z'
'-x,-y,-z'
'-x,-y,z'
'x,y,-z'
'x,-y,-z'
'-x,y,z'
'-x,y,-z'
'x,-y,z'
loop_
_atom_site_label
_atom_site_fract_x
_atom_site_fract_y
_atom_site_fract_z
Sr1 0.000 0.000 0.000
W1 0.500 0.500 0.197
Br1 0.000 0.000 0.500
```